--- P ---
Crystalline Y3AuC at its relaxed geometry. Source: the Alexandria database, functional GGA-PBE.

Computed properties:
Its space-group type is No. 221.

```
Y3AuC
1.0
4.8654 0.0000 0.0000
0.0000 4.8654 0.0000
0.0000 0.0000 4.8654
Y Au C
3 1 1
direct
0.0000 0.0000 0.5000
0.0000 0.5000 0.0000
0.5000 0.0000 0.0000
0.5000 0.5000 0.5000
0.0000 0.0000 0.0000
```

--- Q ---
Crystalline Y3AuC at its relaxed geometry. Source: the Alexandria database, functional GGA-PBE.

Computed properties:
Its space-group type is No. 62.

```
Y3AuC
1.0
8.7255 0.0000 0.0000
0.0000 3.6590 0.0000
0.0000 0.0000 14.3377
Y Au C
12 4 4
direct
0.0035 0.2500 0.1012
0.1776 0.2500 0.5283
0.1907 0.7500 0.3094
0.3093 0.2500 0.8094
0.3224 0.7500 0.0283
0.4965 0.7500 0.6012
0.5035 0.2500 0.3988
0.6776 0.2500 0.9717
0.6907 0.7500 0.1906
0.8093 0.2500 0.6906
0.8224 0.7500 0.4717
0.9965 0.7500 0.8988
0.0963 0.7500 0.6882
0.4037 0.2500 0.1882
0.5963 0.7500 0.8118
0.9037 0.2500 0.3118
0.1629 0.2500 0.9539
0.3371 0.7500 0.4539
0.6629 0.2500 0.5461
0.8371 0.7500 0.0461
```

Stability summary: most stable Q, least stable P.

--- P ---
Crystalline ZnAuC at its relaxed geometry. Source: the Alexandria database, functional GGA-PBE.

Computed properties:
Its space-group type is No. 1.

```
ZnAuC
1.0
3.2650 0.0000 0.0000
1.5713 4.4862 0.0000
1.6016 0.3269 6.3198
Zn Au C
2 2 2
direct
0.0000 0.0000 0.0000
0.4519 0.3986 0.6701
0.6180 0.5167 0.2078
0.8195 0.9514 0.4016
0.6326 0.9441 0.7882
0.7984 0.6709 0.7156
```

--- Q ---
Crystalline ZnAuC at its relaxed geometry. Source: the Alexandria database, functional GGA-PBE.

Computed properties:
Its space-group type is No. 8.

```
ZnAuC
1.0
4.5629 -1.6714 0.0000
4.5629 1.6714 0.0000
-2.8710 0.0000 6.2021
Zn Au C
2 2 2
direct
0.0000 0.0000 0.0000
0.6664 0.6664 0.7109
0.3470 0.3470 0.6130
0.9940 0.9940 0.3997
0.6451 0.6451 0.0280
0.7999 0.7999 0.0903
```

--- R ---
Crystalline ZnAuC at its relaxed geometry. Source: the Alexandria database, functional GGA-PBE.

Computed properties:
Its space-group type is No. 8.

```
ZnAuC
1.0
4.1501 -1.7229 0.0000
4.1501 1.7229 0.0000
-1.2124 0.0000 7.3402
Zn Au C
2 2 2
direct
0.0000 0.0000 0.0000
0.7113 0.7113 0.2616
0.6941 0.6941 0.8736
0.9400 0.9400 0.6482
0.0744 0.0744 0.2808
0.9554 0.9554 0.3742
```

--- S ---
Crystalline ZnAuC at its relaxed geometry. Source: the Alexandria database, functional GGA-PBE.

Computed properties:
Its space-group type is No. 6.

```
ZnAuC
1.0
5.0036 0.0000 0.0000
0.0000 3.2334 0.0000
-1.3548 0.0000 6.0479
Zn Au C
2 2 2
direct
0.0000 0.0000 0.0000
0.1172 0.0000 0.4071
0.5527 0.0000 0.1932
0.5603 0.5000 0.7269
0.1341 0.5000 0.6281
0.9855 0.5000 0.7761
```

Stability summary: most stable Q, least stable S.

--- P ---
Crystalline ZnAuC at its relaxed geometry. Source: the Alexandria database, functional GGA-PBE.

Computed properties:
Its space-group type is No. 1.

```
ZnAuC
1.0
3.2060 0.0000 0.0000
1.5635 4.5977 0.0000
0.0188 0.4353 6.1113
Zn Au C
2 2 2
direct
0.0000 0.0000 0.0000
0.3085 0.3776 0.3284
0.0393 0.9238 0.4936
0.7700 0.4604 0.6767
0.6401 0.7134 0.0127
0.7753 0.4316 0.0661
```

--- Q ---
Crystalline ZnAuC at its relaxed geometry. Source: the Alexandria database, functional GGA-PBE.

Computed properties:
Its space-group type is No. 1.

```
ZnAuC
1.0
3.4165 0.0000 0.0000
-1.7047 4.4527 0.0000
-1.6793 -1.2113 6.5470
Zn Au C
2 2 2
direct
0.0000 0.0000 0.0000
0.1573 0.6388 0.6785
0.3879 0.3908 0.3820
0.8138 0.0391 0.5889
0.2809 0.4774 0.0824
0.3664 0.7251 0.0078
```

Stability summary: most stable Q, least stable P.

--- P ---
Crystalline ZnAuC at its relaxed geometry. Source: the Alexandria database, functional GGA-PBE.

Computed properties:
Its space-group type is No. 187.

```
ZnAuC
1.0
3.6728 0.0000 0.0000
-1.8364 3.1807 0.0000
0.0000 0.0000 4.0880
Zn Au C
1 1 1
direct
0.0000 0.0000 0.0000
0.3333 0.6667 0.5000
0.3333 0.6667 0.0000
```

--- Q ---
Crystalline ZnAuC at its relaxed geometry. Source: the Alexandria database, functional GGA-PBE.

Computed properties:
Its space-group type is No. 6.

```
ZnAuC
1.0
3.7437 0.0000 0.0000
0.0000 3.2351 0.0000
-1.2924 0.0000 7.6204
Zn Au C
2 2 2
direct
0.0000 0.0000 0.0000
0.4582 0.5000 0.3191
0.4536 0.5000 0.8598
0.8823 0.0000 0.6514
0.0710 0.0000 0.2641
0.8453 0.0000 0.3773
```

Stability summary: most stable Q, least stable P.

--- P ---
Crystalline ZnAu3C at its relaxed geometry. Source: the Alexandria database, functional GGA-PBE.

Computed properties:
Its space-group type is No. 221.

```
ZnAu3C
1.0
4.3602 0.0000 0.0000
0.0000 4.3602 0.0000
0.0000 0.0000 4.3602
Zn Au C
1 3 1
direct
0.0000 0.0000 0.0000
0.0000 0.5000 0.5000
0.5000 0.0000 0.5000
0.5000 0.5000 0.0000
0.5000 0.5000 0.5000
```

--- Q ---
Crystalline ZnAu3C at its relaxed geometry. Source: the Alexandria database, functional GGA-PBE.

Computed properties:
Its space-group type is No. 221.

```
ZnAu3C
1.0
4.8173 0.0000 0.0000
0.0000 4.8173 0.0000
0.0000 0.0000 4.8173
Zn Au C
1 3 1
direct
0.0000 0.0000 0.0000
0.0000 0.0000 0.5000
0.0000 0.5000 0.0000
0.5000 0.0000 0.0000
0.5000 0.5000 0.5000
```

Stability summary: most stable P, least stable Q.

--- P ---
Crystalline ZnAu2C at its relaxed geometry. Source: the Alexandria database, functional GGA-PBE.

Computed properties:
Its space-group type is No. 122.

```
ZnAu2C
1.0
-2.5820 2.5820 5.7469
2.5820 -2.5820 5.7469
2.5820 2.5820 -5.7469
Zn Au C
2 4 2
direct
0.0000 0.0000 0.0000
0.7500 0.2500 0.5000
0.2250 0.6250 0.1000
0.3750 0.4750 0.6000
0.5250 0.1250 0.9000
0.8750 0.7750 0.4000
0.2500 0.7500 0.5000
0.5000 0.5000 0.0000
```

--- Q ---
Crystalline ZnAu2C at its relaxed geometry. Source: the Alexandria database, functional GGA-PBE.

Computed properties:
Its space-group type is No. 225.

```
ZnAu2C
1.0
0.0000 3.0975 3.0975
3.0975 0.0000 3.0975
3.0975 3.0975 0.0000
Zn Au C
1 2 1
direct
0.0000 0.0000 0.0000
0.2500 0.2500 0.2500
0.7500 0.7500 0.7500
0.5000 0.5000 0.5000
```

Stability summary: most stable P, least stable Q.